1.
# K2LiY

A relaxed structure of K2LiY (PBE, Alexandria via LeMat-Bulk).

ΔH_f (0 K) = 0.43 eV/atom
Crystal system = orthorhombic

a b c (Å): 7.9681 7.9681 7.9681
angles (deg): 153.20 134.11 53.94
Last column: nearest neighbours and their distance in Å.
Atoms (fractional coordinates):
K1 0.2049 0.2049 0.0000  2 Li 3.45, 6 K 3.69-3.83
K2 0.7951 0.7951 0.0000  2 Li 3.45, 6 K 3.69-3.83
Li1 0.0000 0.5000 0.5000  4 K 3.45, 4 Y 3.61, 2 Li 3.69
Y1 0.5000 0.0000 0.5000  4 Li 3.61, 2 Y 3.69

---

2.
# Sb2Pd7Au

A relaxed structure of Sb2Pd7Au (PBE, Alexandria via LeMat-Bulk).

Excess energy over the best structure of this formula in the dataset = 0.283 eV/atom
Formation energy without anion corrections = 0.02 eV/f.u.
Crystal system = orthorhombic

a b c (Å): 7.9150 7.9150 4.0170
angles (deg): 90.00 90.00 124.31
Last column: nearest neighbours and their distance in Å.
Atoms (fractional coordinates):
Sb1 0.1896 0.8104 0.0000  5 Pd 2.56-2.65
Sb2 0.8104 0.1896 0.0000  5 Pd 2.56-2.65
Pd1 0.0000 0.0000 0.0000  2 Sb 2.65, 4 Pd 2.73
Pd2 0.2083 0.4159 0.0000  1 Sb 2.60, 5 Pd 2.73-2.91, 2 Au 2.84
Pd3 0.3028 0.6972 0.5000  2 Sb 2.56, 1 Au 2.76, 4 Pd 2.77
Pd4 0.4159 0.2083 0.0000  1 Sb 2.60, 5 Pd 2.73-2.91, 2 Au 2.84
Pd5 0.5841 0.7917 0.0000  1 Sb 2.60, 5 Pd 2.73-2.91, 2 Au 2.84
Pd6 0.6972 0.3028 0.5000  2 Sb 2.56, 1 Au 2.76, 4 Pd 2.77
Pd7 0.7917 0.5841 0.0000  1 Sb 2.60, 5 Pd 2.73-2.91, 2 Au 2.84
Au1 0.5000 0.5000 0.5000  10 Pd 2.76-2.84

---

3.
# HoIn2Pd9

A relaxed structure of HoIn2Pd9 (PBE, Alexandria via LeMat-Bulk).

ΔH_f (0 K) = -0.59 eV/atom
Crystal system = tetragonal

a b c (Å): 4.0629 4.0629 12.2077
angles (deg): 90.00 90.00 90.00
Last column: nearest neighbours and their distance in Å.
Atoms (fractional coordinates):
Ho1 0.0000 0.0000 0.0000  12 Pd 2.87-2.92
In1 0.0000 0.0000 0.3377  12 Pd 2.84-2.87
In2 0.0000 0.0000 0.6623  12 Pd 2.84-2.87
Pd1 0.0000 0.5000 0.1713  8 Pd 2.84-2.92, 2 In 2.87, 2 Ho 2.92
Pd2 0.0000 0.5000 0.5000  4 In 2.84, 8 Pd 2.87
Pd3 0.0000 0.5000 0.8287  8 Pd 2.84-2.92, 2 In 2.87, 2 Ho 2.92
Pd4 0.5000 0.0000 0.1713  8 Pd 2.84-2.92, 2 In 2.87, 2 Ho 2.92
Pd5 0.5000 0.0000 0.5000  4 In 2.84, 8 Pd 2.87
Pd6 0.5000 0.0000 0.8287  8 Pd 2.84-2.92, 2 In 2.87, 2 Ho 2.92
Pd7 0.5000 0.5000 0.0000  4 Ho 2.87, 8 Pd 2.92
Pd8 0.5000 0.5000 0.3341  8 Pd 2.84-2.87, 4 In 2.87
Pd9 0.5000 0.5000 0.6659  8 Pd 2.84-2.87, 4 In 2.87

---

4.
# DyHoTh2

A relaxed structure of DyHoTh2 (PBE, Alexandria via LeMat-Bulk).

Excess energy over the best structure of this formula in the dataset = 0.000 eV/atom
ΔH_f (0 K) = 0.03 eV/atom
Crystal system = monoclinic

a b c (Å): 5.0402 5.0491 10.0418
angles (deg): 90.00 90.07 90.00
Last column: nearest neighbours and their distance in Å.
Atoms (fractional coordinates):
Dy1 0.9996 0.2500 0.1281  4 Th 3.55, 6 Ho 3.57-3.61, 2 Dy 3.60
Dy2 0.0004 0.7500 0.8719  4 Th 3.55, 6 Ho 3.57-3.61, 2 Dy 3.60
Ho1 0.5003 0.2500 0.8719  4 Th 3.55, 6 Dy 3.57-3.61, 2 Ho 3.60
Ho2 0.4997 0.7500 0.1281  4 Th 3.55, 6 Dy 3.57-3.61, 2 Ho 3.60
Th1 0.9998 0.2500 0.6236  8 Th 3.53-3.57, 2 Ho 3.55, 2 Dy 3.55
Th2 0.0002 0.7500 0.3764  8 Th 3.53-3.57, 2 Ho 3.55, 2 Dy 3.55
Th3 0.5003 0.2500 0.3766  8 Th 3.53-3.57, 2 Dy 3.55, 2 Ho 3.55
Th4 0.4997 0.7500 0.6234  8 Th 3.53-3.57, 2 Dy 3.55, 2 Ho 3.55

---

Repeat the fourth record exactly.
# DyHoTh2

A relaxed structure of DyHoTh2 (PBE, Alexandria via LeMat-Bulk).

Excess energy over the best structure of this formula in the dataset = 0.000 eV/atom
ΔH_f (0 K) = 0.03 eV/atom
Crystal system = monoclinic

a b c (Å): 5.0402 5.0491 10.0418
angles (deg): 90.00 90.07 90.00
Last column: nearest neighbours and their distance in Å.
Atoms (fractional coordinates):
Dy1 0.9996 0.2500 0.1281  4 Th 3.55, 6 Ho 3.57-3.61, 2 Dy 3.60
Dy2 0.0004 0.7500 0.8719  4 Th 3.55, 6 Ho 3.57-3.61, 2 Dy 3.60
Ho1 0.5003 0.2500 0.8719  4 Th 3.55, 6 Dy 3.57-3.61, 2 Ho 3.60
Ho2 0.4997 0.7500 0.1281  4 Th 3.55, 6 Dy 3.57-3.61, 2 Ho 3.60
Th1 0.9998 0.2500 0.6236  8 Th 3.53-3.57, 2 Ho 3.55, 2 Dy 3.55
Th2 0.0002 0.7500 0.3764  8 Th 3.53-3.57, 2 Ho 3.55, 2 Dy 3.55
Th3 0.5003 0.2500 0.3766  8 Th 3.53-3.57, 2 Dy 3.55, 2 Ho 3.55
Th4 0.4997 0.7500 0.6234  8 Th 3.53-3.57, 2 Dy 3.55, 2 Ho 3.55